Record 1
Entry from Alexandria via LeMat-Bulk: crystalline Ag7Pt5 at its relaxed geometry (PBE-GGA).

a b c (Å): 9.560 9.560 2.837
angles (deg): 90.00 90.00 129.14
Fractional positions:
Pt  0.168  0.332  0.500
Ag  0.004  0.002  0.000
Ag  0.836  0.664  0.500
Ag  0.666  0.834  0.500
Ag  0.997  0.503  0.500
Ag  0.835  0.170  0.000
Pt  0.334  0.166  0.500
Ag  0.498  0.496  0.000
Pt  0.656  0.323  0.000
Pt  0.177  0.844  0.000
Ag  0.330  0.665  0.000
Pt  0.499  0.001  0.500

Output
Symmetry: Amm2 (38)
Offset from the most stable computed form, meV/atom: 30
Fermi-level density of states, states/eV/cell: 9.55


Record 2
Entry from Alexandria via LeMat-Bulk: crystalline AgPt at its relaxed geometry (PBE-GGA).

a b c (Å): 4.742 15.060 8.105
angles (deg): 90.00 90.00 90.00
Fractional positions:
Ag  0.250  0.750  0.584
Pt  0.750  0.336  0.250
Pt  0.000  0.914  0.000
Pt  0.500  0.414  0.000
Ag  0.000  0.500  0.166
Ag  0.500  0.000  0.166
Pt  0.000  0.414  0.500
Ag  0.000  0.000  0.666
Ag  0.250  0.750  0.916
Pt  0.250  0.336  0.750
Ag  0.750  0.250  0.916
Ag  0.750  0.750  0.084
Pt  0.500  0.086  0.500
Ag  0.750  0.250  0.584
Pt  0.750  0.664  0.750
Pt  0.000  0.586  0.500
Ag  0.250  0.250  0.084
Ag  0.250  0.250  0.416
Pt  0.000  0.086  0.000
Pt  0.250  0.664  0.250
Ag  0.500  0.500  0.334
Ag  0.500  0.000  0.834
Ag  0.000  0.500  0.834
Pt  0.750  0.164  0.250
Pt  0.250  0.164  0.750
Ag  0.500  0.500  0.666
Pt  0.500  0.586  0.000
Pt  0.750  0.836  0.750
Pt  0.250  0.836  0.250
Ag  0.000  0.000  0.334
Ag  0.750  0.750  0.416
Pt  0.500  0.914  0.500

Output
DFT total energy, eV/atom: -4.290
Symmetry: Fddd (70)
Fermi-level density of states, states/eV/cell: 14.35


Record 3
Entry from Alexandria via LeMat-Bulk: crystalline Ag5Pt7 at its relaxed geometry (PBE-GGA).

a b c (Å): 4.929 7.586 5.687
angles (deg): 79.82 72.97 77.30
Fractional positions:
Ag  0.002  0.665  0.834
Pt  0.014  0.665  0.332
Pt  0.998  0.330  0.668
Pt  0.507  0.491  0.005
Ag  0.500  0.834  0.666
Pt  0.497  0.172  0.829
Pt  0.009  0.333  0.166
Ag  0.995  0.000  0.000
Pt  0.986  0.006  0.496
Ag  0.508  0.502  0.500
Pt  0.486  0.170  0.337
Ag  0.499  0.834  0.167

Output
Symmetry: P1 (1)
Offset from the most stable computed form, meV/atom: 40
Fermi-level density of states, states/eV/cell: 12.00


Record 4
Entry from Alexandria via LeMat-Bulk: crystalline Ag3Pt at its relaxed geometry (PBE-GGA).

a b c (Å): 4.983 9.595 5.745
angles (deg): 90.00 90.00 90.00
Fractional positions:
Ag  0.418  0.250  0.626
Ag  0.744  0.499  0.124
Ag  0.744  0.001  0.124
Pt  0.086  0.750  0.633
Ag  0.582  0.750  0.374
Ag  0.244  0.499  0.376
Ag  0.756  0.501  0.624
Ag  0.082  0.750  0.126
Ag  0.918  0.250  0.874
Pt  0.414  0.250  0.133
Pt  0.586  0.750  0.867
Ag  0.244  0.001  0.376
Pt  0.914  0.250  0.367
Ag  0.256  0.999  0.876
Ag  0.256  0.501  0.876
Ag  0.756  0.999  0.624

Output
DFT total energy, eV/atom: -3.638
Symmetry: Pnma (62)
Fermi-level density of states, states/eV/cell: 6.63


Record 5
Entry from Alexandria via LeMat-Bulk: crystalline AgPt at its relaxed geometry (PBE-GGA).

a b c (Å): 9.275 4.756 5.344
angles (deg): 90.00 90.00 90.00
Fractional positions:
Ag  0.500  0.827  0.500
Ag  0.666  0.497  0.000
Pt  0.750  0.000  0.750
Ag  0.334  0.497  0.000
Pt  0.250  0.000  0.750
Pt  0.750  0.000  0.250
Ag  0.166  0.503  0.500
Pt  0.000  0.008  0.500
Pt  0.500  0.992  0.000
Pt  0.250  0.000  0.250
Ag  0.834  0.503  0.500
Ag  0.000  0.173  0.000

Output
DFT total energy, eV/atom: -4.321
Symmetry: Pmmn (59)
Fermi-level density of states, states/eV/cell: 6.10


Record 6
Entry from Alexandria via LeMat-Bulk: crystalline Ag5Pt7 at its relaxed geometry (PBE-GGA).

a b c (Å): 6.454 6.454 8.105
angles (deg): 90.00 90.00 144.22
Fractional positions:
Pt  0.832  0.168  0.747
Ag  0.500  0.500  0.755
Pt  0.168  0.832  0.747
Pt  0.665  0.335  0.507
Pt  0.335  0.665  0.507
Pt  0.672  0.328  0.989
Ag  0.500  0.500  0.250
Ag  0.833  0.167  0.251
Pt  0.328  0.672  0.989
Ag  0.167  0.833  0.251
Pt  0.000  0.000  0.506
Ag  0.000  0.000  0.000

Output
Symmetry: Cmm2 (35)
Offset from the most stable computed form, meV/atom: 48
Fermi-level density of states, states/eV/cell: 11.10


Record 7
Entry from Alexandria via LeMat-Bulk: crystalline Ag7Pt5 at its relaxed geometry (PBE-GGA).

a b c (Å): 6.441 6.441 9.096
angles (deg): 64.90 64.90 36.62
Fractional positions:
Pt  0.918  0.918  0.760
Ag  0.415  0.415  0.248
Pt  0.577  0.577  0.758
Ag  0.165  0.165  0.501
Ag  0.002  0.002  0.002
Pt  0.671  0.671  0.995
Ag  0.501  0.501  0.502
Pt  0.752  0.752  0.239
Ag  0.085  0.085  0.248
Ag  0.831  0.831  0.502
Pt  0.332  0.332  0.997
Ag  0.250  0.250  0.749

Output
Symmetry: Cm (8)
Offset from the most stable computed form, meV/atom: 35
Fermi-level density of states, states/eV/cell: 7.58


Record 8
Entry from Alexandria via LeMat-Bulk: crystalline Ag4Pt5 at its relaxed geometry (PBE-GGA).

a b c (Å): 8.646 8.646 6.425
angles (deg): 47.72 47.72 90.00
Fractional positions:
Pt  0.666  0.666  0.000
Ag  0.000  0.332  0.000
Pt  0.000  0.000  0.000
Ag  0.668  0.000  0.000
Ag  0.000  0.668  0.000
Pt  0.334  0.334  0.000
Ag  0.332  0.000  0.000
Pt  0.666  0.334  0.000
Pt  0.334  0.666  0.000

Output
Symmetry: I4/mmm (139)
Offset from the most stable computed form, meV/atom: 6
Fermi-level density of states, states/eV/cell: 7.01


Record 9
Entry from Alexandria via LeMat-Bulk: crystalline AgPt at its relaxed geometry (PBE-GGA).

a b c (Å): 7.507 7.507 5.031
angles (deg): 82.88 82.88 140.99
Fractional positions:
Pt  0.104  0.896  0.500
Ag  0.902  0.098  0.500
Pt  0.597  0.403  0.000
Pt  0.397  0.603  0.000
Ag  0.200  0.800  0.000
Ag  0.501  0.499  0.500
Pt  0.799  0.201  0.000
Ag  0.000  0.000  0.000
Pt  0.301  0.699  0.500
Ag  0.700  0.300  0.500

Output
DFT total energy, eV/atom: -4.399
Symmetry: C2 (5)
Fermi-level density of states, states/eV/cell: 6.88


Record 10
Entry from Alexandria via LeMat-Bulk: crystalline AgPt at its relaxed geometry (PBE-GGA).

a b c (Å): 4.981 4.981 8.534
angles (deg): 90.00 90.00 110.40
Fractional positions:
Pt  0.500  0.500  0.331
Ag  0.500  0.500  0.665
Pt  0.000  0.500  0.829
Ag  0.000  0.000  0.001
Pt  0.000  0.500  0.170
Ag  0.500  0.000  0.501
Ag  0.000  0.000  0.665
Pt  0.000  0.000  0.331
Ag  0.500  0.500  0.001
Ag  0.500  0.000  0.839
Pt  0.000  0.500  0.493
Pt  0.500  0.000  0.174

Output
DFT total energy, eV/atom: -4.422
Symmetry: Cmm2 (35)
Fermi-level density of states, states/eV/cell: 8.88


Record 11
Entry from Alexandria via LeMat-Bulk: crystalline Ag3Pt at its relaxed geometry (PBE-GGA).

a b c (Å): 4.606 4.606 4.606
angles (deg): 60.00 60.00 60.00
Fractional positions:
Pt  0.250  0.250  0.250
Ag  0.500  0.500  0.500
Ag  0.000  0.000  0.000
Ag  0.750  0.750  0.750

Output
DFT total energy, eV/atom: -3.579
Symmetry: Fm-3m (225)
Fermi-level density of states, states/eV/cell: 1.62


Record 12
Entry from Alexandria via LeMat-Bulk: crystalline Ag5Pt7 at its relaxed geometry (PBE-GGA).

a b c (Å): 2.803 2.803 25.081
angles (deg): 90.00 90.00 90.00
Fractional positions:
Ag  0.500  0.500  0.082
Pt  0.500  0.500  0.751
Ag  0.500  0.500  0.250
Pt  0.000  0.000  0.334
Ag  0.500  0.500  0.587
Pt  0.500  0.500  0.910
Ag  0.000  0.000  0.994
Pt  0.000  0.000  0.831
Pt  0.000  0.000  0.165
Pt  0.000  0.000  0.503
Ag  0.500  0.500  0.419
Pt  0.000  0.000  0.672

Output
Symmetry: P4mm (99)
Offset from the most stable computed form, meV/atom: 35
Fermi-level density of states, states/eV/cell: 13.41